# 1
Entry from the Alexandria database: crystalline SrNb3Br at its relaxed geometry (GGA-PBE).

a b c (Å): 4.930 4.930 4.930
angles (deg): 90.00 90.00 90.00
Fractional positions:
Sr 0.000 0.000 0.000
Nb 0.000 0.500 0.500
Nb 0.500 0.000 0.500
Nb 0.500 0.500 0.000
Br 0.500 0.500 0.500

Computed properties:
Electronic total energy ... -5.689 eV per atom
ρ ... 6.183 Mg/m³
Total magnetization ... 0.0009 μB/atom
E above lowest polymorph ... 0.0 meV per atom
Symmetry ... No. 221
DOS at the Fermi energy ... 11.0 states/eV per cell
Formation energy (no corrections) ... 1.02 eV/atom


# 2
Entry from the Alexandria database: crystalline ZnIn6Pb3 at its relaxed geometry (GGA-PBE).

a b c (Å): 9.684 4.391 13.877
angles (deg): 90.00 107.01 90.00
Fractional positions:
Zn 0.190 0.250 0.132
Zn 0.810 0.750 0.868
In 0.011 0.250 0.910
In 0.097 0.250 0.559
In 0.276 0.750 0.997
In 0.342 0.750 0.273
In 0.360 0.250 0.453
In 0.483 0.250 0.127
In 0.517 0.750 0.873
In 0.640 0.750 0.547
In 0.658 0.250 0.727
In 0.724 0.250 0.003
In 0.903 0.750 0.441
In 0.989 0.750 0.090
Pb 0.030 0.250 0.296
Pb 0.263 0.250 0.799
Pb 0.359 0.750 0.633
Pb 0.641 0.250 0.367
Pb 0.737 0.750 0.201
Pb 0.970 0.750 0.704

Computed properties:
Electronic total energy ... -2.818 eV per atom
DFT formation energy ... 0.065 eV/atom
ρ ... 8.098 Mg/m³
Total magnetization ... 0.0000 μB/atom
Symmetry ... No. 11
DOS at the Fermi energy ... 9.0 states/eV per cell


# 3
Entry from the Alexandria database: crystalline AlW2Cl at its relaxed geometry (GGA-PBE).

a b c (Å): 4.440 4.440 4.440
angles (deg): 60.00 60.00 60.00
Fractional positions:
Al 0.000 0.000 0.000
W 0.250 0.250 0.250
W 0.750 0.750 0.750
Cl 0.500 0.500 0.500

Computed properties:
Electronic total energy ... -6.858 eV per atom
ρ ... 11.540 Mg/m³
Total magnetization ... 0.0000 μB/atom
E above lowest polymorph ... 781.2 meV per atom
Symmetry ... No. 225
DOS at the Fermi energy ... 5.0 states/eV per cell
Formation energy (no corrections) ... 1.02 eV/atom


# 4
Entry from the Alexandria database: crystalline BaFeOs2 at its relaxed geometry (GGA-PBE).

a b c (Å): 5.929 5.929 5.929
angles (deg): 152.20 131.77 56.58
Fractional positions:
Ba 0.000 0.000 0.000
Fe 0.500 0.500 0.000
Os 0.284 0.784 0.500
Os 0.716 0.216 0.500

Computed properties:
Electronic total energy ... -7.130 eV per atom
DFT formation energy ... 1.081 eV/atom
ρ ... 13.218 Mg/m³
Total magnetization ... 0.5652 μB/atom
E above lowest polymorph ... 743.3 meV per atom
Symmetry ... No. 71
DOS at the Fermi energy ... 5.3 states/eV per cell


# 5
Entry from the Alexandria database: crystalline Be8VCo3 at its relaxed geometry (GGA-PBE).

a b c (Å): 4.181 4.181 6.808
angles (deg): 90.00 90.00 120.00
Fractional positions:
Be 0.000 0.000 0.000
Be 0.000 0.000 0.497
Be 0.170 0.340 0.757
Be 0.170 0.830 0.757
Be 0.340 0.170 0.239
Be 0.660 0.830 0.757
Be 0.830 0.170 0.239
Be 0.830 0.660 0.239
V 0.667 0.333 0.559
Co 0.333 0.667 0.060
Co 0.333 0.667 0.450
Co 0.667 0.333 0.922

Computed properties:
Electronic total energy ... -5.297 eV per atom
DFT formation energy ... -0.276 eV/atom
ρ ... 4.831 Mg/m³
Total magnetization ... 0.1023 μB/atom
Symmetry ... No. 156
DOS at the Fermi energy ... 6.5 states/eV per cell


# 6
Entry from the Alexandria database: crystalline Pm3Si4Ge2 at its relaxed geometry (GGA-PBE).

a b c (Å): 7.771 7.771 6.710
angles (deg): 106.21 106.21 30.74
Fractional positions:
Pm 0.000 0.000 0.000
Pm 0.139 0.139 0.590
Pm 0.861 0.861 0.410
Si 0.208 0.208 0.208
Si 0.493 0.493 0.670
Si 0.507 0.507 0.330
Si 0.792 0.792 0.792
Ge 0.343 0.343 0.024
Ge 0.657 0.657 0.976

Computed properties:
Electronic total energy ... -5.484 eV per atom
ρ ... 5.802 Mg/m³
Total magnetization ... 0.0000 μB/atom
Symmetry ... No. 12
DOS at the Fermi energy ... 4.8 states/eV per cell
Formation energy (no corrections) ... -0.46 eV/atom


# 7
Entry from the Alexandria database: crystalline Sc4AlCu at its relaxed geometry (GGA-PBE).

a b c (Å): 5.681 5.681 5.681
angles (deg): 60.00 60.00 60.00
Fractional positions:
Sc 0.124 0.124 0.124
Sc 0.124 0.124 0.627
Sc 0.124 0.627 0.124
Sc 0.627 0.124 0.124
Al 0.750 0.750 0.750
Cu 0.500 0.500 0.500

Computed properties:
Electronic total energy ... -5.157 eV per atom
DFT formation energy ... 0.371 eV/atom
ρ ... 3.462 Mg/m³
Total magnetization ... 0.0000 μB/atom
E above lowest polymorph ... 572.4 meV per atom
Symmetry ... No. 216
DOS at the Fermi energy ... 5.3 states/eV per cell


# 8
Entry from the Alexandria database: crystalline BeTcOs at its relaxed geometry (GGA-PBE).

a b c (Å): 4.992 4.992 4.992
angles (deg): 146.98 146.98 47.39
Fractional positions:
Be 0.000 0.000 0.000
Tc 0.664 0.664 0.000
Os 0.350 0.350 0.000

Computed properties:
Electronic total energy ... -8.650 eV per atom
DFT formation energy ... -0.209 eV/atom
ρ ... 13.412 Mg/m³
Total magnetization ... 0.0000 μB/atom
E above lowest polymorph ... 26.1 meV per atom
Symmetry ... No. 107
DOS at the Fermi energy ... 1.4 states/eV per cell


# 9
Entry from the Alexandria database: crystalline SmPaBe4 at its relaxed geometry (GGA-PBE).

a b c (Å): 5.038 5.038 5.038
angles (deg): 60.00 60.00 60.00
Fractional positions:
Sm 0.000 0.000 0.000
Pa 0.250 0.250 0.250
Be 0.133 0.622 0.622
Be 0.622 0.133 0.622
Be 0.622 0.622 0.133
Be 0.622 0.622 0.622

Computed properties:
Electronic total energy ... -4.652 eV per atom
DFT formation energy ... 0.201 eV/atom
ρ ... 7.665 Mg/m³
Total magnetization ... 0.0000 μB/atom
Symmetry ... No. 216
DOS at the Fermi energy ... 4.5 states/eV per cell


# 10
Entry from the Alexandria database: crystalline Ho2IrPt at its relaxed geometry (GGA-PBE).

a b c (Å): 3.441 3.441 6.905
angles (deg): 90.00 90.00 90.00
Fractional positions:
Ho 0.000 0.000 0.242
Ho 0.000 0.000 0.758
Ir 0.500 0.500 0.000
Pt 0.500 0.500 0.500

Computed properties:
Electronic total energy ... -7.078 eV per atom
DFT formation energy ... -1.064 eV/atom
ρ ... 14.569 Mg/m³
Total magnetization ... 0.0000 μB/atom
Symmetry ... No. 123
DOS at the Fermi energy ... 1.5 states/eV per cell


# 11
Entry from the Alexandria database: crystalline Pm4DyRu at its relaxed geometry (GGA-PBE).

a b c (Å): 9.480 9.480 6.080
angles (deg): 108.67 108.67 46.77
Fractional positions:
Pm 0.136 0.634 0.385
Pm 0.207 0.793 0.000
Pm 0.328 0.328 0.827
Pm 0.366 0.864 0.615
Pm 0.634 0.136 0.385
Pm 0.672 0.672 0.173
Pm 0.793 0.207 0.000
Pm 0.864 0.366 0.615
Dy 0.199 0.199 0.199
Dy 0.801 0.801 0.801
Ru 0.500 0.500 0.260
Ru 0.500 0.500 0.740

Computed properties:
Electronic total energy ... -5.530 eV per atom
DFT formation energy ... -0.050 eV/atom
ρ ... 7.508 Mg/m³
Total magnetization ... 0.0001 μB/atom
Symmetry ... No. 12
DOS at the Fermi energy ... 16.5 states/eV per cell


# 12
Entry from the Alexandria database: crystalline CaGaCuPd at its relaxed geometry (GGA-PBE).

a b c (Å): 4.643 4.643 4.643
angles (deg): 60.00 60.00 60.00
Fractional positions:
Ca 0.000 0.000 0.000
Ga 0.500 0.500 0.500
Cu 0.250 0.250 0.250
Pd 0.750 0.750 0.750

Computed properties:
Electronic total energy ... -3.933 eV per atom
DFT formation energy ... -0.354 eV/atom
ρ ... 6.566 Mg/m³
Total magnetization ... 0.0000 μB/atom
E above lowest polymorph ... 142.8 meV per atom
Symmetry ... No. 216
DOS at the Fermi energy ... 1.8 states/eV per cell